[1]
BeReAg2 | PBE-GGA | optimized geometry

abc: 2.7788 2.7788 26.6753
angles: 90.00 90.00 120.00
Last column: nearest neighbours and their distance in Å.
Space group R3m (No. 160, hexagonal axes)
Symmetry-distinct sites (fractional):
1 Be 0.0000 0.0000 0.0000 (multiplicity 3)  3 Re 2.48, 3 Ag 2.59
2 Re 0.0000 0.0000 0.2626 (multiplicity 3)  3 Be 2.48
3 Ag 0.0000 0.0000 0.5038 (multiplicity 3)  9 Ag 2.78-2.98, 3 Re 2.94
4 Ag 0.0000 0.0000 0.7429 (multiplicity 3)  3 Be 2.59, 6 Ag 2.78

Summary:
For the total energy, the calculation gives -5.142 eV per atom.

[2]
Hg2IrOs | PBE-GGA | optimized geometry

abc: 6.5406 6.5406 6.5406
angles: 90.00 90.00 90.00
Last column: nearest neighbours and their distance in Å.
Space group Fm-3m (No. 225)
Symmetry-distinct sites (fractional):
1 Hg 0.2500 0.2500 0.2500 (multiplicity 8)  4 Os 2.83, 4 Ir 2.83
2 Ir 0.0000 0.0000 0.0000 (multiplicity 4)  8 Hg 2.83
3 Os 0.0000 0.0000 0.5000 (multiplicity 4)  8 Hg 2.83

Summary:
As for the excess energy over the best structure of this formula in the dataset: 594.5 meV/atom.

| no. | total moment (μB per cell) |
| --- | --- |
| 1 | 0.0 |
| 2 | 5.9 |